No. 1
Cs3ReBr6 PBE-GGA relaxed; space group = Fm-3m; density of states at the Fermi level = 8.86 states/eV/cell; ΔE_f (raw) = -1026.8 kJ/mol of formula units; energy = -3.569 eV per atom
1.0
-2.567 4.237 -6.771
-7.621 0.830 3.409
-3.403 7.620 0.861
Cs Br Re
3 6 1
direct
0.500 0.500 0.000 Cs
0.250 0.750 0.500 Cs
0.750 0.250 0.500 Cs
0.215 0.785 0.000 Br
0.785 0.785 0.000 Br
0.785 0.215 0.000 Br
0.215 0.215 0.569 Br
0.215 0.215 0.000 Br
0.785 0.785 0.431 Br
0.000 0.000 0.000 Re



No. 2
BaTaCl3 PBE-GGA relaxed; space group = Pm-3m; density of states at the Fermi level = 0.00 states/eV/cell; ΔE_f (raw) = -84.4 kJ/mol of formula units; distance to the lowest polymorph of the same formula = 14.64 kcal/mol of atoms; energy = -4.038 eV per atom
1.0
-4.837 1.892 -2.970
2.556 -1.584 -5.172
-2.422 -5.450 0.473
Cl Ba Ta
3 1 1
direct
0.000 0.500 0.000 Cl
0.500 0.000 0.000 Cl
0.000 0.000 0.500 Cl
0.000 0.000 0.000 Ba
0.500 0.500 0.500 Ta



No. 3
LiMg2Tc PBE-GGA relaxed; space group = I-42d; density of states at the Fermi level = 4.01 states/eV/cell; distance to the lowest polymorph of the same formula = 9.41 kcal/mol of atoms; energy = -3.299 eV per atom; energy of formation from the pure elements = 568 meV per atom
1.0
7.076 0.000 0.000
0.000 7.076 0.000
3.538 3.538 2.764
Li Tc Mg
2 2 4
direct
0.500 0.500 0.000 Li
0.250 0.750 0.500 Li
0.000 0.000 0.000 Tc
0.750 0.250 0.500 Tc
0.142 0.625 0.250 Mg
0.375 0.392 0.750 Mg
0.608 0.125 0.250 Mg
0.875 0.858 0.750 Mg



No. 4
GdScAlIr PBE-GGA relaxed; space group = F-43m; density of states at the Fermi level = 3.00 states/eV/cell; energy = -8.824 eV per atom; energy of formation from the pure elements = -570 meV per atom
1.0
-2.823 1.630 3.591
-3.683 -2.713 1.611
0.236 -2.048 4.390
Gd Ir Al Sc
1 1 1 1
direct
0.750 0.750 0.750 Gd
0.500 0.500 0.500 Ir
0.000 0.000 0.000 Al
0.250 0.250 0.250 Sc



No. 5
KZr3W PBE-GGA relaxed; space group = Pm-3m; density of states at the Fermi level = 7.92 states/eV/cell; distance to the lowest polymorph of the same formula = 0.00 kcal/mol of atoms; energy = -7.025 eV per atom; energy of formation from the pure elements = 914 meV per atom
1.0
5.274 0.000 0.000
0.000 5.274 0.000
0.000 0.000 5.274
K Zr W
1 3 1
direct
0.500 0.500 0.500 K
0.000 0.500 0.000 Zr
0.500 0.000 0.000 Zr
0.000 0.000 0.500 Zr
0.000 0.000 0.000 W



No. 6
NiIr2Os PBE-GGA relaxed; space group = Pmmn; density of states at the Fermi level = 9.33 states/eV/cell; distance to the lowest polymorph of the same formula = 1.16 kcal/mol of atoms; energy = -8.628 eV per atom; energy of formation from the pure elements = 56 meV per atom
1.0
4.317 0.000 0.000
0.000 4.691 -0.388
0.000 0.444 5.368
Ni Ir Os
2 4 2
direct
0.250 0.339 0.750 Ni
0.750 0.661 0.250 Ni
0.250 0.829 0.496 Ir
0.750 0.171 0.996 Ir
0.750 0.171 0.504 Ir
0.250 0.829 0.004 Ir
0.250 0.342 0.250 Os
0.750 0.658 0.750 Os



No. 7
ZrTc2P PBE-GGA relaxed; space group = Immm; density of states at the Fermi level = 3.65 states/eV/cell; energy = -9.023 eV per atom; energy of formation from the pure elements = -351 meV per atom
1.0
-1.512 2.305 4.472
1.512 -2.305 4.472
1.512 2.305 -4.472
Tc Zr P
2 1 1
direct
0.213 0.213 0.000 Tc
0.787 0.787 0.000 Tc
0.500 0.000 0.500 Zr
0.000 0.500 0.500 P



No. 8
TaGa2FeOs PBE-GGA relaxed; space group = P4/mmm; density of states at the Fermi level = 4.32 states/eV/cell; energy = -5.711 eV per atom; energy of formation from the pure elements = 1809 meV per atom
1.0
-2.741 0.902 3.864
-0.231 -4.210 0.819
3.960 0.315 2.736
Ga Os Fe Ta
2 1 1 1
direct
0.000 0.000 0.500 Ga
0.500 0.000 0.000 Ga
0.500 0.500 0.500 Os
0.000 0.500 0.000 Fe
0.000 0.000 0.000 Ta



No. 9
YBeMo4 PBE-GGA relaxed; space group = F-43m; density of states at the Fermi level = 7.66 states/eV/cell; energy = -8.454 eV per atom; energy of formation from the pure elements = 465 meV per atom
1.0
0.000 3.783 3.783
3.783 0.000 3.783
3.783 3.783 0.000
Mo Be Y
4 1 1
direct
0.877 0.374 0.374 Mo
0.374 0.877 0.374 Mo
0.374 0.374 0.374 Mo
0.374 0.374 0.877 Mo
0.000 0.000 0.000 Be
0.750 0.750 0.750 Y



No. 10
NaC PBE-GGA relaxed; space group = P4/mmm; density of states at the Fermi level = 0.71 states/eV/cell; distance to the lowest polymorph of the same formula = 44.33 kcal/mol of atoms; energy = -3.118 eV per atom; energy of formation from the pure elements = 2153 meV per atom
1.0
2.461 0.000 0.000
0.000 2.461 0.000
0.000 0.000 3.891
Na C
1 1
direct
0.500 0.500 0.000 Na
0.000 0.000 0.500 C



No. 11
MnNbTlPd2 PBE-GGA relaxed; space group = P4/mmm; density of states at the Fermi level = 4.80 states/eV/cell; energy = -5.385 eV per atom; energy of formation from the pure elements = 1013 meV per atom
1.0
-4.104 1.810 -1.150
-2.151 -2.553 3.659
0.744 3.531 2.901
Pd Tl Nb Mn
2 1 1 1
direct
0.500 0.000 0.000 Pd
0.000 0.000 0.500 Pd
0.000 0.500 0.000 Tl
0.500 0.500 0.500 Nb
0.000 0.000 0.000 Mn



No. 12
Cr2ReRu PBE-GGA relaxed; space group = I4/mmm; density of states at the Fermi level = 4.95 states/eV/cell; energy = -10.079 eV per atom; energy of formation from the pure elements = 163 meV per atom
1.0
-1.305 4.106 1.445
-2.426 1.905 -3.337
-0.381 -4.078 1.967
Cr Re Ru
2 1 1
direct
0.500 0.500 0.000 Cr
0.000 0.000 0.000 Cr
0.250 0.750 0.500 Re
0.750 0.250 0.500 Ru



> What is the energy in the twelfth record?

-10.079 eV per atom